Material: U2Si5Ru3
Method: DFT, PBE-GGA
State: optimized geometry

```
20
Lattice="5.889 5.583 -0.002 -5.889 5.583 -0.002 0.000 2.806 4.966" Properties=species:S:1:pos:R:3 pbc="T T T"
Ru 1.703 4.847 0.670
U -1.616 8.907 1.302
U 1.616 10.310 3.785
Si -3.287 6.285 1.239
Ru -1.703 6.250 3.153
Ru 5.882 7.688 3.722
Si -3.484 7.688 3.722
Si 3.287 7.688 3.722
Si 1.162 2.770 1.660
Si 3.484 6.285 1.239
Ru 1.703 7.722 1.808
Si 0.167 7.688 3.722
U 1.616 5.065 3.659
Ru -1.703 9.125 4.291
Ru -5.882 6.285 1.239
Si -0.167 6.285 1.239
Si -1.162 11.202 3.301
Si 1.162 9.799 0.818
Si -1.162 4.173 4.143
U -1.616 3.662 1.176
```

Results
raw total energy	-8.356	eV/atom

---

Material: USiRu2
Method: DFT, PBE-GGA
State: optimized geometry

```
4
Lattice="3.130 0.000 0.000 0.000 3.661 0.000 -1.565 -1.830 6.348" Properties=species:S:1:pos:R:3 pbc="T T T"
Si 0.000 1.830 2.177
U 1.565 1.830 5.224
Ru 0.000 0.000 3.793
Ru 1.565 1.830 0.294
```

Results
raw total energy	-8.876	eV/atom

---

Material: USiRu2
Method: DFT, PBE-GGA
State: optimized geometry

```
8
Lattice="-2.907 -2.598 -2.629 2.233 0.966 -3.423 4.890 -4.521 1.914" Properties=species:S:1:pos:R:3 pbc="T T T"
U 2.012 -5.428 -1.507
U 2.203 -0.725 -2.631
Si 4.266 -3.284 -2.008
Ru 2.270 -2.714 -0.573
Si -0.050 -2.869 -2.130
Ru 4.174 -4.797 0.082
Ru 1.946 -3.439 -3.565
Ru 0.041 -1.356 -4.219
```

Results
raw total energy	-9.279	eV/atom

---

Material: USiRu2
Method: DFT, PBE-GGA
State: optimized geometry

```
4
Lattice="2.890 0.000 0.000 1.445 2.503 0.000 1.445 0.834 8.589" Properties=species:S:1:pos:R:3 pbc="T T T"
Ru 4.335 2.503 6.775
Ru 1.445 0.834 1.814
U 2.890 1.669 4.294
Si 0.000 0.000 0.000
```

Results
raw total energy	-8.931	eV/atom

---

Material: USiRu2
Method: DFT, PBE-GGA
State: optimized geometry

```
4
Lattice="2.962 0.000 0.000 0.000 2.962 0.000 0.000 0.000 6.966" Properties=species:S:1:pos:R:3 pbc="T T T"
Si 1.481 1.481 0.000
Ru 0.000 0.000 5.536
U 1.481 1.481 3.483
Ru 0.000 0.000 1.431
```

Results
raw total energy	-9.253	eV/atom

---

Material: U2VSi2Ru5
Method: DFT, PBE-GGA
State: optimized geometry

```
20
Lattice="3.055 0.000 0.000 0.000 10.192 0.000 0.000 0.000 10.192" Properties=species:S:1:pos:R:3 pbc="T T T"
Si 0.000 6.415 8.873
Ru 1.527 3.027 5.576
V 0.000 0.000 0.000
Ru 1.527 2.069 0.479
Ru 1.527 8.123 9.713
Si 0.000 3.777 1.319
Ru 1.527 0.479 8.123
Ru 1.527 4.617 3.027
U 0.000 8.389 6.899
U 0.000 3.293 8.389
Si 0.000 1.319 6.415
U 0.000 6.899 1.803
Ru 1.527 7.165 4.617
Ru 1.527 5.576 7.165
Ru 1.527 0.000 5.096
U 0.000 1.803 3.293
V 0.000 5.096 5.096
Ru 1.527 5.096 0.000
Ru 1.527 9.713 2.069
Si 0.000 8.873 3.777
```

Results
raw total energy	-9.253	eV/atom

---

Material: U2Si2Ru5W
Method: DFT, PBE-GGA
State: optimized geometry

```
20
Lattice="-1.137 -0.576 3.244 4.533 -8.547 0.070 7.943 4.242 3.537" Properties=species:S:1:pos:R:3 pbc="T T T"
Ru 7.661 -2.182 4.169
Si 6.989 -5.903 1.400
Ru 5.306 -0.345 3.670
Ru 3.403 1.833 3.390
W 0.000 0.000 0.000
U 8.004 0.730 2.934
Ru 3.679 -2.700 2.681
Ru 0.961 -1.762 1.896
Si 5.488 1.598 2.207
Ru 6.034 -4.537 3.180
U 4.472 -5.034 0.672
Si 2.681 -2.719 0.456
Ru 1.698 -4.562 1.657
W 6.238 -2.152 1.803
Ru 6.049 2.441 4.426
Ru 10.379 -3.119 4.955
Si 9.796 -1.586 3.150
U 9.108 -4.165 2.451
U 3.369 -0.140 1.156
Ru 5.291 -7.322 2.425
```

Results
raw total energy	-9.544	eV/atom

---

Material: V3SiRu
Method: DFT, PBE-GGA
State: optimized geometry

```
10
Lattice="5.874 0.133 -0.376 -1.479 5.686 0.376 -2.736 -2.502 4.481" Properties=species:S:1:pos:R:3 pbc="T T T"
Ru 2.122 -1.603 3.407
Si 1.395 3.515 1.639
V 1.930 1.482 3.044
Si 0.263 -0.199 2.843
V -1.494 1.128 3.646
V 3.152 2.188 0.835
V 4.035 -0.108 1.061
Ru -0.464 4.919 1.074
V -2.377 3.424 3.420
V -0.272 1.834 1.437
```

Results
raw total energy	-8.364	eV/atom